No. 1
SrTlW3 | PBE | relaxed

Unit cell a=5.112 b=5.112 c=5.112 alpha=90.00 beta=90.00 gamma=90.00
Positions (direct):
1 Sr 0.500 0.500 0.500
2 Tl 0.000 0.000 0.000
3 W 0.000 0.500 0.000
4 W 0.000 0.000 0.500
5 W 0.500 0.000 0.000

**Space-group type**: Pm-3m, No. 221
**Energy above the most stable polymorph in this dataset**: 0 meV per atom

No. 2
Cr2Ge2S | PBE | relaxed

Unit cell a=6.928 b=6.928 c=3.029 alpha=90.00 beta=90.00 gamma=90.00
Positions (direct):
1 Cr 0.157 0.657 0.500
2 Cr 0.657 0.843 0.500
3 Cr 0.843 0.343 0.500
4 Cr 0.343 0.157 0.500
5 Ge 0.361 0.861 0.000
6 Ge 0.861 0.639 0.000
7 Ge 0.639 0.139 0.000
8 Ge 0.139 0.361 0.000
9 S 0.000 0.000 0.000
10 S 0.500 0.500 0.000

**Space-group type**: P4/mbm, No. 127
**Energy above the most stable polymorph in this dataset**: 73 meV per atom

No. 3
KLuSb2 | PBE | relaxed

Unit cell a=4.038 b=4.038 c=7.675 alpha=90.00 beta=90.00 gamma=90.00
Positions (direct):
1 Sb 0.000 0.000 0.806
2 Sb 0.000 0.000 0.194
3 K 0.500 0.500 0.500
4 Lu 0.500 0.500 0.000

**Space-group type**: P4/mmm, No. 123
**Energy above the most stable polymorph in this dataset**: 0 meV per atom

No. 4
Tl2Cd4Sn5 | PBE | relaxed

Unit cell a=6.943 b=6.943 c=8.260 alpha=73.73 beta=73.73 gamma=54.36
Positions (direct):
1 Tl 0.210 0.210 0.675
2 Tl 0.790 0.790 0.325
3 Cd 0.451 0.451 0.365
4 Cd 0.549 0.549 0.635
5 Cd 0.755 0.755 0.738
6 Cd 0.245 0.245 0.262
7 Sn 0.142 0.646 0.939
8 Sn 0.858 0.354 0.061
9 Sn 0.000 0.000 0.500
10 Sn 0.646 0.142 0.939
11 Sn 0.354 0.858 0.061

**Space-group type**: C2/m, No. 12
**Raw total energy**: -2.514 eV/atom

No. 5
Na4USb3Se8 | PBE | relaxed

Unit cell a=8.436 b=8.514 c=8.437 alpha=119.70 beta=120.00 gamma=90.00
Site moments in Bohr magnetons follow the coordinates.
Positions (direct):
1 Na 0.500 0.000 0.000  0.00
2 Na 0.500 0.000 0.500  0.00
3 Na 0.000 0.000 0.000  0.00
4 Na 0.000 0.000 0.500  0.00
5 U 0.000 0.500 0.000  2.52
6 Sb 0.500 0.500 0.000  0.02
7 Sb 0.500 0.500 0.500  0.02
8 Sb 0.000 0.500 0.500  0.02
9 Se 0.242 0.730 0.988  -0.02
10 Se 0.242 0.730 0.485  -0.02
11 Se 0.256 0.269 0.513  0.00
12 Se 0.745 0.730 0.988  -0.02
13 Se 0.255 0.270 0.012  -0.02
14 Se 0.744 0.731 0.487  0.00
15 Se 0.758 0.270 0.515  -0.02
16 Se 0.758 0.270 0.012  -0.02

**Space-group type**: R-3m, No. 166
**Raw total energy**: -4.318 eV/atom

No. 6
ScTaTiZn2 | PBE | relaxed

Unit cell a=4.749 b=4.382 c=4.749 alpha=90.00 beta=90.00 gamma=90.00
Site moments in Bohr magnetons follow the coordinates.
Positions (direct):
1 Sc 0.000 0.000 0.000  0.12
2 Zn 0.000 0.000 0.500  0.00
3 Zn 0.500 0.000 0.000  0.00
4 Ti 0.000 0.500 0.000  0.20
5 Ta 0.500 0.500 0.500  -0.04

**Space-group type**: P4/mmm, No. 123
**Energy above the most stable polymorph in this dataset**: 558 meV per atom

Q: What is the formula in the sixth record?
A: ScTaTiZn2